Entry 1:
Computed, not measured: K2MgBe2Se4 after structural relaxation at the GGA-PBE level of DFT. Values from VASP.

The uncorrected formation energy is -1.043 eV/atom. As for the space-group type: C2/m (12).

Geometry as Quantum ESPRESSO input:
```
&SYSTEM
  ibrav = 0, nat = 9, ntyp = 4
/
ATOMIC_SPECIES
K 39.10 K.upf
Mg 24.30 Mg.upf
Be 9.01 Be.upf
Se 78.96 Se.upf
CELL_PARAMETERS angstrom
-0.1249 -0.3414 -3.8189
7.4587 -1.9275 -0.0716
-4.0913 -6.0711 2.6033
ATOMIC_POSITIONS crystal
K 0.1254 0.5352 0.2508
K 0.8746 0.4648 0.7492
Mg 0.0000 0.0000 0.0000
Be 0.6752 0.9768 0.3503
Be 0.3248 0.0232 0.6497
Se 0.2082 0.1604 0.4163
Se 0.7918 0.8396 0.5837
Se 0.5302 0.7823 0.0604
Se 0.4698 0.2177 0.9396
```

=====

Entry 2:
Computed, not measured: Th4In5Au2 after structural relaxation at the GGA-PBE level of DFT. Values from VASP.

The value obtained for the uncorrected energy is -4.976 eV per atom. As for the space-group type: P2/m (10).

Geometry as Quantum ESPRESSO input:
```
&SYSTEM
  ibrav = 0, nat = 11, ntyp = 3
/
ATOMIC_SPECIES
Th 232.04 Th.upf
In 114.82 In.upf
Au 196.97 Au.upf
CELL_PARAMETERS angstrom
3.3940 0.0000 0.0000
0.0000 8.1468 0.0152
0.0000 -0.7690 10.5237
ATOMIC_POSITIONS crystal
Th 0.5000 0.7376 0.5511
Th 0.5000 0.1629 0.8766
Th 0.5000 0.2624 0.4489
Th 0.5000 0.8371 0.1234
In 0.0000 0.5583 0.2964
In 0.0000 0.2007 0.1630
In 0.0000 0.5000 0.0000
In 0.0000 0.7993 0.8370
In 0.0000 0.4417 0.7036
Au 0.0000 0.0564 0.6366
Au 0.0000 0.9436 0.3634
```

=====

Entry 3:
Computed, not measured: Dy2Al3Zn4Ag after structural relaxation at the GGA-PBE level of DFT. Values from VASP.

The value obtained for the uncorrected energy is -3.148 eV per atom. As for the space-group type: P-4m2 (115).

Geometry as Quantum ESPRESSO input:
```
&SYSTEM
  ibrav = 0, nat = 10, ntyp = 4
/
ATOMIC_SPECIES
Dy 162.50 Dy.upf
Al 26.98 Al.upf
Zn 65.41 Zn.upf
Ag 107.87 Ag.upf
CELL_PARAMETERS angstrom
-1.8792 -3.6999 0.4035
2.1691 -0.7215 3.4867
-7.9050 4.6563 5.8812
ATOMIC_POSITIONS crystal
Dy 0.5000 0.0000 0.2432
Dy 0.0000 0.5000 0.7568
Al 0.0000 0.0000 0.5000
Al 0.5000 0.0000 0.8655
Al 0.0000 0.5000 0.1345
Zn 0.5000 0.5000 0.0000
Zn 0.0000 0.0000 0.0000
Zn 0.5000 0.0000 0.6432
Zn 0.0000 0.5000 0.3568
Ag 0.5000 0.5000 0.5000
```

=====

Entry 4:
Computed, not measured: SbPd3Pt2 after structural relaxation at the GGA-PBE level of DFT. Values from VASP.

The uncorrected formation energy is 0.116 eV/atom. As for the space-group type: Immm (71).

Geometry as Quantum ESPRESSO input:
```
&SYSTEM
  ibrav = 0, nat = 6, ntyp = 3
/
ATOMIC_SPECIES
Sb 121.76 Sb.upf
Pd 106.42 Pd.upf
Pt 195.08 Pt.upf
CELL_PARAMETERS angstrom
2.7769 0.0000 0.0000
0.0000 5.0031 0.0000
-1.3885 -2.5015 7.7072
ATOMIC_POSITIONS crystal
Sb 0.0000 0.0000 0.0000
Pd 0.0000 0.5000 0.0000
Pd 0.8298 0.8298 0.6596
Pd 0.1702 0.1702 0.3404
Pt 0.6572 0.6572 0.3145
Pt 0.3428 0.3428 0.6855
```

=====

Entry 5:
Computed, not measured: Pr2NdPuSb4 after structural relaxation at the GGA-PBE level of DFT. Values from VASP.

The uncorrected formation energy is -1.033 eV/atom. As for the space-group type: P2/m (10).

Geometry as Quantum ESPRESSO input:
```
&SYSTEM
  ibrav = 0, nat = 8, ntyp = 4
/
ATOMIC_SPECIES
Pr 140.91 Pr.upf
Nd 144.24 Nd.upf
Pu 244.00 Pu.upf
Sb 121.76 Sb.upf
CELL_PARAMETERS angstrom
-1.3077 4.2060 1.0311
-1.6027 -2.2893 7.3057
7.4298 2.4095 -0.4059
ATOMIC_POSITIONS crystal
Pr 0.5000 0.0000 0.5000
Pr 0.0000 0.5000 0.5000
Nd 0.5000 0.5000 0.0000
Pu 0.0000 0.0000 0.0000
Sb 0.5000 0.2438 0.2424
Sb 0.5000 0.7562 0.7576
Sb 0.0000 0.2479 0.7548
Sb 0.0000 0.7521 0.2452
```

=====

Entry 6:
Computed, not measured: KTaF2 after structural relaxation at the GGA-PBE level of DFT. Values from VASP.

The uncorrected formation energy is -0.411 eV/atom. As for the space-group type: Fm-3m (225).

Geometry as Quantum ESPRESSO input:
```
&SYSTEM
  ibrav = 0, nat = 4, ntyp = 3
/
ATOMIC_SPECIES
K 39.10 K.upf
F 19.00 F.upf
Ta 180.95 Ta.upf
CELL_PARAMETERS angstrom
4.5605 -0.6480 -0.4983
2.6100 -1.0298 3.6870
1.7996 -4.2455 0.4515
ATOMIC_POSITIONS crystal
K 0.0000 0.0000 0.0000
F 0.2500 0.2500 0.2500
F 0.7500 0.7500 0.7500
Ta 0.5000 0.5000 0.5000
```

=====

Entry 7:
Computed, not measured: LaMg2Re after structural relaxation at the GGA-PBE level of DFT. Values from VASP.

The value obtained for the uncorrected energy is -4.824 eV per atom. As for the space-group type: P2/m (10).

Geometry as Quantum ESPRESSO input:
```
&SYSTEM
  ibrav = 0, nat = 4, ntyp = 3
/
ATOMIC_SPECIES
La 138.91 La.upf
Mg 24.30 Mg.upf
Re 186.21 Re.upf
CELL_PARAMETERS angstrom
5.0336 0.0000 0.0000
0.0000 3.0517 0.0043
0.0000 1.6769 5.5433
ATOMIC_POSITIONS crystal
La 0.5000 0.7500 0.7500
Mg 0.0000 0.0847 0.0342
Mg 0.0000 0.4153 0.4658
Re 0.5000 0.2500 0.2500
```

=====

Entry 8:
Computed, not measured: LiPd2Au3 after structural relaxation at the GGA-PBE level of DFT. Values from VASP.

The value obtained for the uncorrected energy is -3.985 eV per atom. As for the space-group type: C2/c (15).

Geometry as Quantum ESPRESSO input:
```
&SYSTEM
  ibrav = 0, nat = 12, ntyp = 3
/
ATOMIC_SPECIES
Li 6.94 Li.upf
Pd 106.42 Pd.upf
Au 196.97 Au.upf
CELL_PARAMETERS angstrom
5.3704 0.0273 1.7875
2.4873 4.0242 1.4211
0.0310 -1.1829 8.9550
ATOMIC_POSITIONS crystal
Li 0.8747 0.2499 0.7500
Li 0.1253 0.7501 0.2500
Pd 0.4589 0.7502 0.5814
Pd 0.2091 0.2501 0.0815
Pd 0.7909 0.7499 0.9185
Pd 0.5411 0.2498 0.4186
Au 0.6250 0.7500 0.2498
Au 0.3750 0.2500 0.7502
Au 0.7063 0.2501 0.0868
Au 0.0434 0.2503 0.4131
Au 0.9566 0.7497 0.5869
Au 0.2937 0.7499 0.9132
```